Entry 1:
Compound: HgBIr2
Source: Alexandria
Functional: GGA-PBE
Structure: relaxed

```
HgBIr2
1.0
0.000 3.071 3.071
3.071 0.000 3.071
3.071 3.071 0.000
Hg B Ir
1 1 2
direct
0.000 0.000 0.000
0.500 0.500 0.500
0.250 0.250 0.250
0.750 0.750 0.750
```

Properties
Formation energy from the elements in meV per atom: 1029.9
Space group: Fm-3m, No. 225



Entry 2:
Compound: HgBIr3
Source: Alexandria
Functional: GGA-PBE
Structure: relaxed

```
HgBIr3
1.0
4.191 0.000 0.000
0.000 4.191 0.000
0.000 0.000 4.191
Hg B Ir
1 1 3
direct
0.000 0.000 0.000
0.500 0.500 0.500
0.000 0.500 0.500
0.500 0.000 0.500
0.500 0.500 0.000
```

Properties
Formation energy from the elements in meV per atom: 240.5
Space group: Pm-3m, No. 221



Entry 3:
Compound: HgB2IrN
Source: Alexandria
Functional: GGA-PBE
Structure: relaxed

```
HgB2IrN
1.0
3.977 0.000 0.000
0.000 3.977 0.000
0.000 0.000 5.451
Hg B Ir N
1 2 1 1
direct
0.000 0.000 0.000
0.000 0.500 0.000
0.500 0.000 0.000
0.000 0.000 0.500
0.500 0.500 0.500
```

Properties
Formation energy without anion corrections in eV per formula unit: 15.194
Space group: P4/mmm, No. 123



Entry 4:
Compound: HgBIrO6
Source: Alexandria
Functional: GGA-PBE
Structure: relaxed

```
HgBIrO6
1.0
4.931 0.000 0.000
-2.465 4.270 0.000
0.000 0.000 5.213
Hg B Ir O
1 1 1 6
direct
0.000 0.000 0.000
0.667 0.333 0.734
0.333 0.667 0.494
0.019 0.338 0.327
0.318 0.981 0.327
0.415 0.386 0.748
0.614 0.029 0.748
0.662 0.682 0.327
0.971 0.585 0.748
```

Properties
Formation energy without anion corrections in eV per formula unit: -7.497
Space group: P3, No. 143



Entry 5:
Compound: ScHg2BIr
Source: Alexandria
Functional: GGA-PBE
Structure: relaxed

```
ScHg2BIr
1.0
5.562 0.000 0.000
0.000 5.562 0.000
0.000 0.000 4.700
Sc Hg B Ir
1 2 1 1
direct
0.000 0.000 0.000
0.000 0.500 0.000
0.500 0.000 0.000
0.500 0.500 0.500
0.000 0.000 0.500
```

Properties
Formation energy from the elements in meV per atom: 1582.2
Space group: P4/mmm, No. 123



Entry 6:
Compound: HgB2IrSe
Source: Alexandria
Functional: GGA-PBE
Structure: relaxed

```
HgB2IrSe
1.0
4.046 0.000 0.000
0.000 4.046 0.000
0.000 0.000 5.665
Hg B Ir Se
1 2 1 1
direct
0.000 0.000 0.000
0.000 0.500 0.500
0.500 0.000 0.500
0.000 0.000 0.500
0.500 0.500 0.000
```

Properties
Formation energy without anion corrections in eV per formula unit: 3.462
Space group: P4/mmm, No. 123



Entry 7:
Compound: Y2HgBIr
Source: Alexandria
Functional: GGA-PBE
Structure: relaxed

```
Y2HgBIr
1.0
5.042 0.000 0.000
0.000 5.042 0.000
0.000 0.000 4.154
Y Hg B Ir
2 1 1 1
direct
0.000 0.500 0.000
0.500 0.000 0.000
0.000 0.000 0.500
0.000 0.000 0.000
0.500 0.500 0.500
```

Properties
Formation energy from the elements in meV per atom: 15.3
Space group: P4/mmm, No. 123



Entry 8:
Compound: Y2HgBIr
Source: Alexandria
Functional: GGA-PBE
Structure: relaxed

```
Y2HgBIr
1.0
5.127 0.000 0.000
0.000 5.127 0.000
0.000 0.000 4.000
Y Hg B Ir
2 1 1 1
direct
0.000 0.500 0.000
0.500 0.000 0.000
0.000 0.000 0.500
0.500 0.500 0.000
0.500 0.500 0.500
```

Properties
Formation energy from the elements in meV per atom: -570.3
Space group: P4/mmm, No. 123



Entry 9:
Compound: KHg3B
Source: Alexandria
Functional: GGA-PBE
Structure: relaxed

```
KHg3B
1.0
6.640 0.000 0.000
0.000 6.640 0.000
0.000 0.000 6.640
K Hg B
1 3 1
direct
0.000 0.000 0.000
0.000 0.000 0.500
0.000 0.500 0.000
0.500 0.000 0.000
0.500 0.500 0.500
```

Properties
Formation energy from the elements in meV per atom: 1244.1
Space group: Pm-3m, No. 221



Entry 10:
Compound: KHg2B
Source: Alexandria
Functional: GGA-PBE
Structure: relaxed

```
KHg2B
1.0
0.000 3.650 3.650
3.650 0.000 3.650
3.650 3.650 0.000
K Hg B
1 2 1
direct
0.000 0.000 0.000
0.500 0.500 0.500
0.750 0.750 0.750
0.250 0.250 0.250
```

Properties
Formation energy from the elements in meV per atom: 894.2
Space group: F-43m, No. 216



Entry 11:
Compound: K2HgB2
Source: Alexandria
Functional: GGA-PBE
Structure: relaxed

```
K2HgB2
1.0
6.463 0.000 0.000
0.000 6.463 0.000
0.000 0.000 5.064
K Hg B
4 2 4
direct
0.193 0.307 0.000
0.307 0.807 0.000
0.693 0.193 0.000
0.807 0.693 0.000
0.000 0.000 0.500
0.500 0.500 0.500
0.088 0.588 0.500
0.412 0.088 0.500
0.588 0.912 0.500
0.912 0.412 0.500
```

Properties
Formation energy from the elements in meV per atom: 747.4
Space group: P4/mbm, No. 127



Entry 12:
Compound: KHg2B
Source: Alexandria
Functional: GGA-PBE
Structure: relaxed

```
KHg2B
1.0
-3.293 3.293 5.854
3.293 -3.293 5.854
3.293 3.293 -5.854
K Hg B
2 4 2
direct
0.000 0.000 0.000
0.750 0.250 0.500
0.357 0.625 0.232
0.375 0.607 0.732
0.393 0.125 0.768
0.875 0.643 0.268
0.250 0.750 0.500
0.500 0.500 0.000
```

Properties
Formation energy from the elements in meV per atom: 273.0
Space group: I-42d, No. 122



Entry 13:
Compound: KHg3B
Source: Alexandria
Functional: GGA-PBE
Structure: relaxed

```
KHg3B
1.0
4.935 0.000 0.000
0.000 4.935 0.000
0.000 0.000 4.935
K Hg B
1 3 1
direct
0.000 0.000 0.000
0.000 0.500 0.500
0.500 0.000 0.500
0.500 0.500 0.000
0.500 0.500 0.500
```

Properties
Formation energy from the elements in meV per atom: 353.9
Space group: Pm-3m, No. 221



Entry 14:
Compound: K2HgB2
Source: Alexandria
Functional: GGA-PBE
Structure: relaxed

```
K2HgB2
1.0
-3.188 3.188 2.986
3.188 -3.188 2.986
3.188 3.188 -2.986
K Hg B
2 1 2
direct
0.250 0.750 0.500
0.750 0.250 0.500
0.000 0.000 0.000
0.372 0.372 0.000
0.628 0.628 0.000
```

Properties
Formation energy from the elements in meV per atom: 452.9
Space group: I4/mmm, No. 139



Entry 15:
Compound: KHgB3
Source: Alexandria
Functional: GGA-PBE
Structure: relaxed

```
KHgB3
1.0
4.629 0.000 0.000
0.000 4.629 0.000
0.000 0.000 4.629
K Hg B
1 1 3
direct
0.000 0.000 0.000
0.500 0.500 0.500
0.000 0.500 0.500
0.500 0.000 0.500
0.500 0.500 0.000
```

Properties
Formation energy from the elements in meV per atom: 2089.6
Space group: Pm-3m, No. 221



Entry 16:
Compound: KHgB3
Source: Alexandria
Functional: GGA-PBE
Structure: relaxed

```
KHgB3
1.0
5.207 0.000 0.000
0.000 5.207 0.000
0.000 0.000 5.207
K Hg B
1 1 3
direct
0.000 0.000 0.000
0.500 0.500 0.500
0.000 0.000 0.500
0.000 0.500 0.000
0.500 0.000 0.000
```

Properties
Formation energy from the elements in meV per atom: 3168.3
Space group: Pm-3m, No. 221



Entry 17:
Compound: K3HgB
Source: Alexandria
Functional: GGA-PBE
Structure: relaxed

```
K3HgB
1.0
6.084 0.000 0.000
0.000 6.084 0.000
0.000 0.000 6.084
K Hg B
3 1 1
direct
0.000 0.000 0.500
0.000 0.500 0.000
0.500 0.000 0.000
0.500 0.500 0.500
0.000 0.000 0.000
```

Properties
Formation energy from the elements in meV per atom: 660.0
Space group: Pm-3m, No. 221



Entry 18:
Compound: K2LiHgB
Source: Alexandria
Functional: GGA-PBE
Structure: relaxed

```
K2LiHgB
1.0
6.127 0.000 0.000
0.000 6.127 0.000
0.000 0.000 4.530
K Li Hg B
2 1 1 1
direct
0.000 0.500 0.000
0.500 0.000 0.000
0.000 0.000 0.500
0.500 0.500 0.500
0.000 0.000 0.000
```

Properties
Formation energy from the elements in meV per atom: 571.8
Space group: P4/mmm, No. 123



Entry 19:
Compound: KMn2HgB
Source: Alexandria
Functional: GGA-PBE
Structure: relaxed

```
KMn2HgB
1.0
5.777 0.000 0.000
0.000 5.777 0.000
0.000 0.000 4.975
K Mn Hg B
1 2 1 1
direct
0.000 0.000 0.000
0.000 0.500 0.000
0.500 0.000 0.000
0.500 0.500 0.500
0.000 0.000 0.500
```

Properties
Formation energy from the elements in meV per atom: 2337.3
Space group: P4/mmm, No. 123



Entry 20:
Compound: KHgBN2
Source: Alexandria
Functional: GGA-PBE
Structure: relaxed

```
KHgBN2
1.0
4.374 0.000 0.000
0.000 4.374 0.000
0.000 0.000 6.283
K Hg B N
1 1 1 2
direct
0.000 0.000 0.000
0.000 0.000 0.500
0.500 0.500 0.000
0.000 0.500 0.500
0.500 0.000 0.500
```

Properties
Formation energy without anion corrections in eV per formula unit: 12.595
Space group: P4/mmm, No. 123



Entry 21:
Compound: K2NiHgB
Source: Alexandria
Functional: GGA-PBE
Structure: relaxed

```
K2NiHgB
1.0
6.556 0.000 0.000
0.000 6.556 0.000
0.000 0.000 4.132
K Ni Hg B
2 1 1 1
direct
0.000 0.500 0.000
0.500 0.000 0.000
0.000 0.000 0.500
0.500 0.500 0.000
0.500 0.500 0.500
```

Properties
Formation energy from the elements in meV per atom: 947.2
Space group: P4/mmm, No. 123



Entry 22:
Compound: KHg2BO4
Source: Alexandria
Functional: GGA-PBE
Structure: relaxed

```
KHg2BO4
1.0
-2.781 2.793 3.569
2.781 -2.793 3.569
2.781 2.793 -3.569
K Hg B O
1 2 1 4
direct
0.000 0.000 0.000
0.253 0.753 0.500
0.747 0.247 0.500
0.500 0.500 0.000
0.225 0.225 0.679
0.454 0.775 0.000
0.546 0.546 0.321
0.775 0.454 0.000
```

Properties
Formation energy without anion corrections in eV per formula unit: -9.278
Space group: I222, No. 23



Entry 23:
Compound: KHg2BS4
Source: Alexandria
Functional: GGA-PBE
Structure: relaxed

```
KHg2BS4
1.0
9.097 0.000 0.000
0.000 6.366 0.000
0.000 0.000 6.413
K Hg B S
2 4 2 8
direct
0.000 0.199 0.000
0.500 0.801 0.500
0.248 0.287 0.462
0.252 0.713 0.962
0.748 0.713 0.962
0.752 0.287 0.462
0.000 0.791 0.461
0.500 0.209 0.961
0.000 0.090 0.524
0.000 0.718 0.164
0.181 0.682 0.567
0.319 0.318 0.067
0.500 0.282 0.664
0.500 0.910 0.024
0.681 0.318 0.067
0.819 0.682 0.567
```

Properties
Formation energy without anion corrections in eV per formula unit: -3.458
Space group: Pmn2_1, No. 31



Entry 24:
Compound: KSr2HgB
Source: Alexandria
Functional: GGA-PBE
Structure: relaxed

```
KSr2HgB
1.0
5.666 0.000 0.000
0.000 5.666 0.000
0.000 0.000 5.993
K Sr Hg B
1 2 1 1
direct
0.000 0.000 0.000
0.000 0.500 0.500
0.500 0.000 0.500
0.500 0.500 0.000
0.000 0.000 0.500
```

Properties
Formation energy from the elements in meV per atom: 371.0
Space group: P4/mmm, No. 123



Entry 25:
Compound: KHgBW2
Source: Alexandria
Functional: GGA-PBE
Structure: relaxed

```
KHgBW2
1.0
4.332 0.000 0.000
0.000 4.332 0.000
0.000 0.000 5.119
K Hg B W
1 1 1 2
direct
0.000 0.000 0.000
0.500 0.500 0.000
0.500 0.500 0.500
0.000 0.500 0.500
0.500 0.000 0.500
```

Properties
Formation energy from the elements in meV per atom: 1315.8
Space group: P4/mmm, No. 123



Entry 26:
Compound: LaHgB
Source: Alexandria
Functional: GGA-PBE
Structure: relaxed

```
LaHgB
1.0
4.886 0.000 0.000
-2.443 4.231 0.000
0.000 0.000 6.300
La Hg B
2 2 2
direct
0.333 0.667 0.250
0.667 0.333 0.750
0.000 0.000 0.000
0.000 0.000 0.500
0.333 0.667 0.750
0.667 0.333 0.250
```

Properties
Formation energy from the elements in meV per atom: 230.5
Space group: P6_3/mmc, No. 194



Entry 27:
Compound: LaHg3B
Source: Alexandria
Functional: GGA-PBE
Structure: relaxed

```
LaHg3B
1.0
4.842 0.000 0.000
0.000 4.842 0.000
0.000 0.000 4.842
La Hg B
1 3 1
direct
0.000 0.000 0.000
0.000 0.500 0.500
0.500 0.000 0.500
0.500 0.500 0.000
0.500 0.500 0.500
```

Properties
Formation energy from the elements in meV per atom: 265.5
Space group: Pm-3m, No. 221



no.,spin magnetization (μB/f.u.),total energy (eV per cell)
1,0.0,-20.58
2,0.0,-32.36
3,1.3,-15.65
4,0.0,-53.09
5,0.0,-14.56
6,0.0,-22.54
7,0.0,-28.69
8,0.0,-31.62
9,1.7,-2.46
10,0.0,-4.80
11,0.0,-24.23
12,0.0,-14.57
13,0.0,-6.91
14,0.0,-13.59
15,0.0,-10.98
16,2.3,-5.59
17,1.8,-6.97
18,1.7,-8.23
19,8.3,-14.73
20,2.8,-12.13
21,1.1,-10.22
22,0.0,-37.49
23,0.0,-56.69
24,1.6,-9.59
25,0.0,-27.40
26,0.0,-22.43
27,0.0,-11.18